{"formula": "BPtN3", "functional": "PBE", "state": "optimized geometry", "formation_energy_uncorrected_ev_per_atom": 2.76, "spacegroup": "Pm-3m", "cell": [[3.876, 0.000, 0.000], [0.000, 3.876, 0.000], [0.000, 0.000, 3.876]], "species": ["N", "N", "N", "B", "Pt"], "fractional_positions": [[0.500, 0.000, 0.000], [0.000, 0.500, 0.000], [0.000, 0.000, 0.500], [0.500, 0.500, 0.500], [0.000, 0.000, 0.000]]}